Density functional theory data (GGA-PBE) for a geometry-optimized TbDy5Zn4 structure.

E_form ... -2.7 eV/f.u.
Total DFT energy (no corrections) ... -35.4 eV for the cell shown

abc: 3.564 3.564 19.334
angles: 90.00 90.00 90.00
Fractional positions:
Dy 0.500 0.500 0.132
Dy 0.500 0.500 0.316
Dy 0.500 0.500 0.684
Dy 0.500 0.500 0.868
Dy 0.500 0.500 0.500
Zn 0.000 0.000 0.224
Zn 0.000 0.000 0.776
Zn 0.000 0.000 0.407
Zn 0.000 0.000 0.593
Tb 0.000 0.000 0.000